Entry 1:
The following is a GGA-PBE calculation of NaTh3Pa4N12 after structural relaxation, from Alexandria.

Structure (extended XYZ):
```
20
Lattice="-4.3121 4.3121 4.3121 4.3121 -4.3121 4.3121 4.3121 4.3121 -4.3121" Properties=species:S:1:pos:R:3 pbc="T T T"
Na 0.0000 0.0000 0.0000
Th 4.3121 0.0000 0.0000
Th 0.0000 4.3121 0.0000
Th 0.0000 0.0000 4.3121
Pa 2.1561 2.1561 -2.1561
Pa 2.1561 -2.1561 2.1561
Pa -2.1561 2.1561 2.1561
Pa 2.1561 2.1561 2.1561
N 4.3121 -1.6188 2.5371
N 2.6933 1.7750 0.0000
N 5.9310 1.7750 0.0000
N 2.5371 4.3121 -1.6188
N 1.7750 0.0000 2.6933
N 4.3121 1.6188 2.5371
N 0.0000 2.6933 1.7750
N 2.5371 4.3121 1.6188
N 1.7750 0.0000 5.9310
N -1.6188 2.5371 4.3121
N 1.6188 2.5371 4.3121
N 0.0000 5.9310 1.7750
```

Computed properties:
The density of states at the Fermi level comes out at 24.9 states/eV/f.u. As for the uncorrected formation energy: -1.268 eV per atom. The final energy is -186.8 eV/cell.



Entry 2:
The following is a GGA-PBE calculation of Na4ThPa3N8 after structural relaxation, from Alexandria.

Structure (extended XYZ):
```
16
Lattice="3.6017 2.0794 5.7224 -3.6017 2.0794 5.7224 0.0000 -4.1589 5.7224" Properties=species:S:1:pos:R:3 pbc="T T T"
Na 0.0000 0.0000 0.0000
Na -1.8008 -1.0397 5.7224
Na -1.8008 1.0397 11.4449
Na 0.0000 2.0794 5.7224
Th 0.0000 0.0000 8.5837
Pa -3.6017 0.0000 8.5837
Pa -1.8008 1.0397 2.8612
Pa 1.8008 1.0397 2.8612
N -1.8803 -1.0856 9.6519
N 0.0000 0.0000 3.9305
N 0.0000 -2.1712 7.5154
N -1.8803 1.0856 7.5154
N 1.8803 -1.0856 9.6519
N 0.0000 2.1712 9.6519
N 0.0000 0.0000 13.2368
N 1.8803 1.0856 7.5154
```

Computed properties:
The density of states at the Fermi level comes out at 13.0 states/eV/f.u. As for the uncorrected formation energy: -1.117 eV per atom. The final energy is -125.7 eV/cell.



Entry 3:
The following is a GGA-PBE calculation of Na3ThPa2N6 after structural relaxation, from Alexandria.

Structure (extended XYZ):
```
12
Lattice="3.0745 -5.5014 0.0000 3.0745 5.5014 0.0000 -1.8905 0.0000 5.7475" Properties=species:S:1:pos:R:3 pbc="T T T"
Na 0.0000 0.0000 0.0000
Na 3.0745 1.8995 0.0000
Na 3.0745 -1.8995 0.0000
Th 2.1293 0.0000 2.8737
Pa 2.1293 3.6788 2.8737
Pa 2.1293 -3.6788 2.8737
N 0.9824 1.8988 1.7917
N 0.0354 0.0000 3.9651
N 0.9824 -1.8988 1.7917
N 3.2762 1.8988 3.9558
N 4.2232 0.0000 1.7824
N 3.2762 -1.8988 3.9558
```

Computed properties:
The density of states at the Fermi level comes out at 7.3 states/eV/f.u. As for the uncorrected formation energy: -1.080 eV per atom. The final energy is -93.3 eV/cell.



Entry 4:
The following is a GGA-PBE calculation of Na2ThPaN4 after structural relaxation, from Alexandria.

Structure (extended XYZ):
```
8
Lattice="6.0643 0.0000 0.0000 0.0000 3.6966 0.0000 -1.9174 0.0000 5.8540" Properties=species:S:1:pos:R:3 pbc="T T T"
Na 0.0000 0.0000 0.0000
Na -0.9587 1.8483 2.9270
Th 2.0735 0.0000 2.9270
Pa 3.0322 1.8483 0.0000
N 0.3762 0.0000 4.5422
N 1.4059 1.8483 1.4341
N 2.7410 1.8483 4.4198
N 3.7707 0.0000 1.3117
```

Computed properties:
The density of states at the Fermi level comes out at 5.4 states/eV/f.u. As for the uncorrected formation energy: -0.990 eV per atom. The final energy is -60.8 eV/cell.



Entry 5:
The following is a GGA-PBE calculation of Na2Pa2TiN6 after structural relaxation, from Alexandria.

Structure (extended XYZ):
```
11
Lattice="2.9559 -5.0395 0.0000 2.9559 5.0395 0.0000 -1.7290 0.0000 5.7774" Properties=species:S:1:pos:R:3 pbc="T T T"
Na 2.9559 3.4885 0.0000
Na 2.9559 -3.4885 0.0000
Pa 2.0914 1.6787 2.8887
Pa 2.0914 -1.6787 2.8887
Ti -0.8645 0.0000 2.8887
N 0.0232 1.6379 3.9258
N 0.9787 0.0000 1.8885
N 0.0232 -1.6379 3.9258
N 4.1595 1.6379 1.8516
N 3.2040 0.0000 3.8889
N 4.1595 -1.6379 1.8516
```

Computed properties:
The density of states at the Fermi level comes out at 9.7 states/eV/f.u. As for the uncorrected formation energy: -0.883 eV per atom. The final energy is -89.2 eV/cell.



Entry 6:
The following is a GGA-PBE calculation of Na4Pa3TiN8 after structural relaxation, from Alexandria.

Structure (extended XYZ):
```
16
Lattice="3.4510 1.9925 5.6985 -3.4510 1.9925 5.6985 0.0000 -3.9849 5.6985" Properties=species:S:1:pos:R:3 pbc="T T T"
Na 0.0000 0.0000 0.0000
Na -1.7255 -0.9962 5.6985
Na -1.7255 0.9962 11.3970
Na 0.0000 1.9925 5.6985
Pa -3.4510 0.0000 8.5478
Pa -1.7255 0.9962 2.8493
Pa 1.7255 0.9962 2.8493
Ti 0.0000 0.0000 8.5478
N 0.0000 0.0000 3.9379
N -1.6601 -0.9585 9.5987
N 0.0000 -1.9170 7.4969
N -1.6601 0.9585 7.4969
N 1.6601 -0.9585 9.5987
N 0.0000 1.9170 9.5987
N 1.6601 0.9585 7.4969
N 0.0000 0.0000 13.1576
```

Computed properties:
The density of states at the Fermi level comes out at 7.8 states/eV/f.u. As for the uncorrected formation energy: -1.051 eV per atom. The final energy is -125.1 eV/cell.



Entry 7:
The following is a GGA-PBE calculation of Na2PaTiN4 after structural relaxation, from Alexandria.

Structure (extended XYZ):
```
8
Lattice="5.6523 0.0000 0.0000 0.0000 3.3915 0.0000 -1.8006 0.0000 5.6648" Properties=species:S:1:pos:R:3 pbc="T T T"
Na 0.0000 0.0000 0.0000
Na 2.8261 1.6958 0.0000
Pa -0.9003 1.6958 2.8324
Ti 1.9258 0.0000 2.8324
N 0.1766 0.0000 3.9054
N 1.0180 1.6958 1.7896
N 2.8337 1.6958 3.8752
N 3.6750 0.0000 1.7593
```

Computed properties:
The density of states at the Fermi level comes out at 5.0 states/eV/f.u. As for the uncorrected formation energy: -0.909 eV per atom. The final energy is -60.6 eV/cell.



Entry 8:
The following is a GGA-PBE calculation of NaPa4TlN8 after structural relaxation, from Alexandria.

Structure (extended XYZ):
```
14
Lattice="3.5808 2.0674 5.0900 -3.5808 2.0674 5.0900 0.0000 -4.1348 5.0900" Properties=species:S:1:pos:R:3 pbc="T T T"
Na 0.0000 0.0000 0.0000
Pa -1.7754 -1.0250 12.6612
Pa 0.0000 0.0000 8.9841
Pa 1.7754 -1.0250 12.6612
Pa 0.0000 2.0500 12.6612
Tl 0.0000 0.0000 5.7315
N -1.8896 -1.0910 8.7353
N 0.0000 0.0000 3.5395
N 0.0000 -2.1108 6.7038
N -1.8280 1.0554 6.7038
N 1.8896 -1.0910 8.7353
N 0.0000 2.1819 8.7353
N 0.0000 0.0000 11.4400
N 1.8280 1.0554 6.7038
```

Computed properties:
As for the uncorrected formation energy: -1.037 eV per atom. The final energy is -122.8 eV/cell.